Compound: Cs2YSiCl6
Source: the Alexandria database
Functional: PBE
Structure: optimized geometry

Calculated values
E_tot (eV per cell): -40.982
Symmetry: No. 139
Raw formation energy (eV/atom): -1.631
Density of states at the Fermi level (states/eV/cell): 0.00
Crystal system: tetragonal
Density (g/cm³): 2.8

abc: 8.231 8.231 8.231
angles: 125.95 125.95 79.96
Atoms (fractional coordinates):
Cs (0.250, 0.750, 0.500)
Cs (0.750, 0.250, 0.500)
Y (0.000, 0.000, 0.000)
Si (0.500, 0.500, 0.000)
Cl (0.209, 0.209, 0.000)
Cl (0.251, 0.251, 0.502)
Cl (0.251, 0.749, 0.000)
Cl (0.749, 0.251, 0.000)
Cl (0.749, 0.749, 0.498)
Cl (0.791, 0.791, 0.000)